(1)
! Ce3Si2Sn3 PBE relaxed; values from VASP
! - Uncorrected formation energy: -0.398 eV/atom
&SYSTEM
  ibrav = 0, nat = 16, ntyp = 3
/
ATOMIC_SPECIES
Si 28.09 Si.upf
Sn 118.71 Sn.upf
Ce 140.12 Ce.upf
ATOMIC_POSITIONS crystal
Si 0.0000 0.0000 0.6656
Si 0.0000 0.0000 0.8344
Si 0.0000 0.0000 0.1656
Si 0.0000 0.0000 0.3344
Sn 0.6667 0.3333 0.1604
Sn 0.3333 0.6667 0.8396
Sn 0.0000 0.0000 0.0000
Sn 0.0000 0.0000 0.5000
Sn 0.6667 0.3333 0.3396
Sn 0.3333 0.6667 0.6604
Ce 0.6667 0.3333 0.9235
Ce 0.6667 0.3333 0.7500
Ce 0.6667 0.3333 0.5765
Ce 0.3333 0.6667 0.0765
Ce 0.3333 0.6667 0.4235
Ce 0.3333 0.6667 0.2500
CELL_PARAMETERS angstrom
-3.0872 1.8440 -2.7734
1.0228 -4.4104 -0.3530
-16.8412 -5.1331 15.3337



(2)
! BaNa3Tl3 PBE relaxed; values from VASP
! - ΔE_f: -167 meV per atom
&SYSTEM
  ibrav = 0, nat = 14, ntyp = 3
/
ATOMIC_SPECIES
Tl 204.38 Tl.upf
Na 22.99 Na.upf
Ba 137.33 Ba.upf
ATOMIC_POSITIONS crystal
Tl 0.7127 0.9491 0.1809
Tl 0.2873 0.0509 0.8191
Tl 0.1573 0.7127 0.1809
Tl 0.8427 0.2873 0.8191
Tl 0.9491 0.1573 0.1809
Tl 0.0509 0.8427 0.8191
Na 0.0784 0.5781 0.6096
Na 0.9216 0.4219 0.3904
Na 0.5781 0.7339 0.6096
Na 0.4219 0.2661 0.3904
Na 0.2661 0.9216 0.3904
Na 0.7339 0.0784 0.6096
Ba 0.3485 0.3485 0.9544
Ba 0.6515 0.6515 0.0456
CELL_PARAMETERS angstrom
8.3769 0.0000 0.0000
4.1885 7.2546 0.0000
4.1885 2.4182 7.7671



(3)
! NdY2Ho4Er2 PBE relaxed; values from VASP
! - ΔE_f: 83 meV per atom
&SYSTEM
  ibrav = 0, nat = 9, ntyp = 4
/
ATOMIC_SPECIES
Nd 144.24 Nd.upf
Er 167.26 Er.upf
Ho 164.93 Ho.upf
Y 88.91 Y.upf
ATOMIC_POSITIONS crystal
Nd 0.0000 0.0000 0.0000
Er 0.1835 0.5538 0.9630
Er 0.8165 0.4462 0.0370
Ho 0.3794 0.2406 0.4915
Ho 0.2705 0.1206 0.8099
Ho 0.7295 0.8794 0.1901
Ho 0.6206 0.7594 0.5085
Y 0.2678 0.6562 0.5955
Y 0.7322 0.3438 0.4045
CELL_PARAMETERS angstrom
-2.9904 -5.9430 -0.7101
-5.7940 -3.5865 7.1170
-1.5688 5.6153 -3.1814



(4)
! VCr2GeS6 PBE relaxed; values from VASP
! - Uncorrected formation energy: -0.592 eV/atom
&SYSTEM
  ibrav = 0, nat = 10, ntyp = 4
/
ATOMIC_SPECIES
S 32.06 S.upf
V 50.94 V.upf
Ge 72.64 Ge.upf
Cr 52.00 Cr.upf
ATOMIC_POSITIONS crystal
S 0.7344 0.1073 0.7445
S 0.2255 0.8946 0.2519
S 0.4137 0.7346 0.7444
S 0.6280 0.2255 0.2519
S 0.8947 0.6278 0.2520
S 0.1073 0.4138 0.7445
V 0.8186 0.8185 0.5443
Ge 0.3142 0.3141 0.0577
Cr 0.5116 0.5116 0.4651
Cr 0.0137 0.0137 0.9589
CELL_PARAMETERS angstrom
6.1222 0.0004 0.0013
3.0603 5.3019 0.0012
3.0598 1.7677 5.4543



(5)
! Li2PrRh PBE relaxed; values from VASP
! - ΔE_f: 279 meV per atom
&SYSTEM
  ibrav = 0, nat = 4, ntyp = 3
/
ATOMIC_SPECIES
Rh 102.91 Rh.upf
Li 6.94 Li.upf
Pr 140.91 Pr.upf
ATOMIC_POSITIONS crystal
Rh 0.5000 0.5000 0.5000
Li 0.8954 0.8954 0.3137
Li 0.1046 0.1046 0.6863
Pr 0.0000 0.0000 0.0000
CELL_PARAMETERS angstrom
-1.0652 -1.9232 -2.0517
1.7188 -2.2694 -0.9688
-3.4866 -7.4441 6.5843



(6)
! LaHoN2 PBE relaxed; values from VASP
! - Uncorrected formation energy: -1.351 eV/atom
&SYSTEM
  ibrav = 0, nat = 4, ntyp = 3
/
ATOMIC_SPECIES
N 14.01 N.upf
La 138.91 La.upf
Ho 164.93 Ho.upf
ATOMIC_POSITIONS crystal
N 0.0787 0.0787 0.7639
N 0.2580 0.2580 0.2261
La 0.4968 0.4968 0.5098
Ho 0.6666 0.6666 0.0002
CELL_PARAMETERS angstrom
3.5015 0.0000 0.0000
1.7507 3.0323 0.0000
1.7507 1.0108 6.1088



(7)
! PaSb4 PBE relaxed; values from VASP
! - Uncorrected formation energy: 0.643 eV/atom
&SYSTEM
  ibrav = 0, nat = 5, ntyp = 2
/
ATOMIC_SPECIES
Sb 121.76 Sb.upf
Pa 231.04 Pa.upf
ATOMIC_POSITIONS crystal
Sb 0.5000 0.0000 0.5000
Sb 0.0000 0.5000 0.5000
Sb 0.0000 0.0000 0.0000
Sb 0.5000 0.5000 0.0000
Pa 0.5000 0.5000 0.5000
CELL_PARAMETERS angstrom
-1.5455 -0.7674 -5.5869
5.3001 -2.1765 -1.1672
-1.9264 -5.3726 1.2709



(8)
! NdHoBe2Pd5 PBE relaxed; values from VASP
! - ΔE_f: -692 meV per atom
&SYSTEM
  ibrav = 0, nat = 9, ntyp = 4
/
ATOMIC_SPECIES
Pd 106.42 Pd.upf
Be 9.01 Be.upf
Ho 164.93 Ho.upf
Nd 144.24 Nd.upf
ATOMIC_POSITIONS crystal
Pd 0.5000 0.0000 0.2507
Pd 0.5000 0.5000 0.5000
Pd 0.0000 0.5000 0.7493
Pd 0.0000 0.5000 0.2507
Pd 0.5000 0.0000 0.7493
Be 0.5000 0.5000 0.8692
Be 0.5000 0.5000 0.1308
Ho 0.0000 0.0000 0.0000
Nd 0.0000 0.0000 0.5000
CELL_PARAMETERS angstrom
-2.5843 -1.8561 -2.5503
3.1526 -1.4137 -2.1658
0.2262 -7.4385 5.1846



(9)
! La6Ge2PN PBE relaxed; values from VASP
! - Uncorrected formation energy: -0.941 eV/atom
&SYSTEM
  ibrav = 0, nat = 20, ntyp = 4
/
ATOMIC_SPECIES
P 30.97 P.upf
La 138.91 La.upf
Ge 72.64 Ge.upf
N 14.01 N.upf
ATOMIC_POSITIONS crystal
P 0.0000 0.5000 0.5000
P 0.5000 0.0000 0.0000
La 0.1763 0.1716 0.4437
La 0.6215 0.0421 0.2650
La 0.1215 0.4579 0.7650
La 0.8521 0.7928 0.9453
La 0.3521 0.7072 0.4453
La 0.8785 0.5421 0.2350
La 0.1479 0.2072 0.0547
La 0.3785 0.9579 0.7350
La 0.8237 0.8284 0.5563
La 0.6763 0.3284 0.9437
La 0.3237 0.6716 0.0563
La 0.6479 0.2928 0.5547
Ge 0.5618 0.6054 0.7476
Ge 0.0618 0.8946 0.2476
Ge 0.4382 0.3946 0.2524
Ge 0.9382 0.1054 0.7524
N 0.5000 0.0000 0.5000
N 0.0000 0.5000 0.0000
CELL_PARAMETERS angstrom
-0.5151 2.3337 6.2574
-7.1726 -3.5195 0.7222
4.5821 -8.5984 3.6047



(10)
! Ta2Sn2Au PBE relaxed; values from VASP
! - ΔE_f: 190 meV per atom
&SYSTEM
  ibrav = 0, nat = 10, ntyp = 3
/
ATOMIC_SPECIES
Ta 180.95 Ta.upf
Sn 118.71 Sn.upf
Au 196.97 Au.upf
ATOMIC_POSITIONS crystal
Ta 0.8702 0.6298 0.0000
Ta 0.6298 0.1298 0.0000
Ta 0.1298 0.3702 0.0000
Ta 0.3702 0.8702 0.0000
Sn 0.8318 0.3318 0.5000
Sn 0.3318 0.1682 0.5000
Sn 0.1682 0.6682 0.5000
Sn 0.6682 0.8318 0.5000
Au 0.5000 0.5000 0.0000
Au 0.0000 0.0000 0.0000
CELL_PARAMETERS angstrom
7.3690 0.0000 0.0000
0.0000 7.3690 0.0000
0.0000 0.0000 3.8844



(11)
! SrRhO3 PBE relaxed; values from VASP
! - Uncorrected formation energy: 0.336 eV/atom
&SYSTEM
  ibrav = 0, nat = 5, ntyp = 3
/
ATOMIC_SPECIES
O 16.00 O.upf
Sr 87.62 Sr.upf
Rh 102.91 Rh.upf
ATOMIC_POSITIONS crystal
O 0.0000 0.5000 0.0000
O 0.0000 0.0000 0.5000
O 0.5000 0.0000 0.0000
Sr 0.0000 0.0000 0.0000
Rh 0.5000 0.5000 0.5000
CELL_PARAMETERS angstrom
4.4419 0.0000 0.0000
0.0000 4.4419 0.0000
0.0000 0.0000 4.4419



(12)
! Pm2Zn3Cd9 PBE relaxed; values from VASP
! - ΔE_f: -181 meV per atom
&SYSTEM
  ibrav = 0, nat = 28, ntyp = 3
/
ATOMIC_SPECIES
Cd 112.41 Cd.upf
Pm 145.00 Pm.upf
Zn 65.41 Zn.upf
ATOMIC_POSITIONS crystal
Cd 0.4554 0.6534 0.9151
Cd 0.5570 0.0729 0.2603
Cd 0.8839 0.8619 0.5776
Cd 0.8715 0.0208 0.0608
Cd 0.5446 0.3466 0.0849
Cd 0.7843 0.3063 0.9224
Cd 0.1161 0.1381 0.4224
Cd 0.5400 0.1893 0.5608
Cd 0.4430 0.9271 0.7397
Cd 0.6874 0.7032 0.7603
Cd 0.8730 0.1230 0.7500
Cd 0.2383 0.5403 0.5849
Cd 0.1270 0.8770 0.2500
Cd 0.3126 0.2968 0.2397
Cd 0.1285 0.9792 0.9392
Cd 0.4600 0.8107 0.4392
Cd 0.7617 0.4597 0.4151
Cd 0.2157 0.6937 0.0776
Pm 0.3357 0.2544 0.7554
Pm 0.9991 0.5804 0.7446
Pm 0.6643 0.7456 0.2446
Pm 0.0009 0.4196 0.2554
Zn 0.1818 0.3642 0.9892
Zn 0.8182 0.6358 0.0108
Zn 0.1250 0.8074 0.4892
Zn 0.5000 0.0000 0.0000
Zn 0.5000 0.5000 0.5000
Zn 0.8750 0.1926 0.5108
CELL_PARAMETERS angstrom
7.7160 -0.0283 -3.3177
-4.5125 7.0838 0.0427
0.0655 0.1475 11.1858



(13)
! BeGaHg3 PBE relaxed; values from VASP
! - ΔE_f: 690 meV per atom
&SYSTEM
  ibrav = 0, nat = 5, ntyp = 3
/
ATOMIC_SPECIES
Hg 200.59 Hg.upf
Be 9.01 Be.upf
Ga 69.72 Ga.upf
ATOMIC_POSITIONS crystal
Hg 0.0000 0.5000 0.0000
Hg 0.5000 0.0000 0.0000
Hg 0.0000 0.0000 0.5000
Be 0.5000 0.5000 0.5000
Ga 0.0000 0.0000 0.0000
CELL_PARAMETERS angstrom
-3.3260 -1.9252 -3.6929
2.3988 -4.7489 0.3153
-3.4043 -1.4654 3.8300



(14)
! Cr3Fe PBE relaxed; values from VASP
! - ΔE_f: 240 meV per atom
&SYSTEM
  ibrav = 0, nat = 8, ntyp = 2
/
ATOMIC_SPECIES
Cr 52.00 Cr.upf
Fe 55.84 Fe.upf
ATOMIC_POSITIONS crystal
Cr 0.5000 0.1408 0.2709
Cr 0.0000 0.8592 0.2291
Cr 0.5000 0.6046 0.0000
Cr 0.0000 0.3954 0.5000
Cr 0.5000 0.1408 0.7291
Cr 0.0000 0.8592 0.7709
Fe 0.0000 0.3368 0.0000
Fe 0.5000 0.6632 0.5000
CELL_PARAMETERS angstrom
-2.0941 2.9347 1.8498
-2.4711 -3.2153 2.3037
3.2604 0.0649 3.5881



(15)
! TcBi6O12 PBE relaxed; values from VASP
! - Uncorrected formation energy: -1.254 eV/atom
&SYSTEM
  ibrav = 0, nat = 19, ntyp = 3
/
ATOMIC_SPECIES
O 16.00 O.upf
Bi 208.98 Bi.upf
Tc 98.00 Tc.upf
ATOMIC_POSITIONS crystal
O 0.1823 0.5626 0.4323
O 0.5677 0.8177 0.4374
O 0.2882 0.9783 0.0729
O 0.9271 0.7118 0.0217
O 0.5626 0.4323 0.1823
O 0.0217 0.9271 0.7118
O 0.9783 0.0729 0.2882
O 0.8177 0.4374 0.5677
O 0.0729 0.2882 0.9783
O 0.4323 0.1823 0.5626
O 0.7118 0.0217 0.9271
O 0.4374 0.5677 0.8177
Bi 0.4085 0.8560 0.7029
Bi 0.8560 0.7029 0.4085
Bi 0.7029 0.4085 0.8560
Bi 0.5915 0.1440 0.2971
Bi 0.1440 0.2971 0.5915
Bi 0.2971 0.5915 0.1440
Tc 0.0000 0.0000 0.0000
CELL_PARAMETERS angstrom
6.6881 -0.4172 -0.8061
-0.8577 6.6460 -0.8061
-0.3905 -0.4172 6.7252



(16)
! NiTe2RuN PBE relaxed; values from VASP
! - Uncorrected formation energy: 0.581 eV/atom
&SYSTEM
  ibrav = 0, nat = 5, ntyp = 4
/
ATOMIC_SPECIES
Te 127.60 Te.upf
N 14.01 N.upf
Ni 58.69 Ni.upf
Ru 101.07 Ru.upf
ATOMIC_POSITIONS crystal
Te 0.0000 0.5000 0.0000
Te 0.5000 0.0000 0.0000
N 0.0000 0.0000 0.5000
Ni 0.5000 0.5000 0.5000
Ru 0.0000 0.0000 0.0000
CELL_PARAMETERS angstrom
5.3448 0.0000 0.0000
0.0000 5.3448 0.0000
0.0000 0.0000 3.5977



(17)
! Na2PaSbTe4 PBE relaxed; values from VASP
! - Uncorrected formation energy: -0.625 eV/atom
&SYSTEM
  ibrav = 0, nat = 8, ntyp = 4
/
ATOMIC_SPECIES
Sb 121.76 Sb.upf
Na 22.99 Na.upf
Pa 231.04 Pa.upf
Te 127.60 Te.upf
ATOMIC_POSITIONS crystal
Sb 0.0000 0.0000 0.0000
Na 0.0000 0.5000 0.5000
Na 0.5000 0.0000 0.5000
Pa 0.5000 0.5000 0.0000
Te 0.5000 0.2452 0.2317
Te 0.5000 0.7548 0.7683
Te 0.0000 0.7446 0.2360
Te 0.0000 0.2554 0.7640
CELL_PARAMETERS angstrom
4.4204 0.0000 0.0000
0.0000 7.8675 0.2056
0.0000 -2.6860 7.4800



(18)
! BPdSN2 PBE relaxed; values from VASP
! - Uncorrected formation energy: 1.008 eV/atom
&SYSTEM
  ibrav = 0, nat = 5, ntyp = 4
/
ATOMIC_SPECIES
N 14.01 N.upf
Pd 106.42 Pd.upf
S 32.06 S.upf
B 10.81 B.upf
ATOMIC_POSITIONS crystal
N 0.5000 0.0000 0.0000
N 0.0000 0.5000 0.0000
Pd 0.5000 0.5000 0.5000
S 0.0000 0.0000 0.5000
B 0.0000 0.0000 0.0000
CELL_PARAMETERS angstrom
-1.1625 -2.3548 -1.8080
1.9076 -2.0803 1.4828
-5.6219 -1.3372 5.3563



(19)
! La4GaNiI2 PBE relaxed; values from VASP
! - Uncorrected formation energy: -0.742 eV/atom
&SYSTEM
  ibrav = 0, nat = 8, ntyp = 4
/
ATOMIC_SPECIES
I 126.90 I.upf
Ga 69.72 Ga.upf
Ni 58.69 Ni.upf
La 138.91 La.upf
ATOMIC_POSITIONS crystal
I 0.0000 0.5000 0.5000
I 0.5000 0.0000 0.5000
Ga 0.5000 0.5000 0.0000
Ni 0.0000 0.0000 0.0000
La 0.5000 0.2119 0.1848
La 0.0000 0.7460 0.2129
La 0.5000 0.7881 0.8152
La 0.0000 0.2540 0.7871
CELL_PARAMETERS angstrom
-0.6156 -4.0873 -0.2811
3.5484 -0.0492 -7.0555
6.0097 -1.2895 5.5896



(20)
! PmAsPbO5 PBE relaxed; values from VASP
! - Uncorrected formation energy: -1.966 eV/atom
&SYSTEM
  ibrav = 0, nat = 16, ntyp = 4
/
ATOMIC_SPECIES
As 74.92 As.upf
Pm 145.00 Pm.upf
O 16.00 O.upf
Pb 207.20 Pb.upf
ATOMIC_POSITIONS crystal
As 0.3171 0.6829 0.7500
As 0.6829 0.3171 0.2500
Pm 0.0000 0.0000 0.0000
Pm 0.0000 0.0000 0.5000
O 0.6749 0.1046 0.3598
O 0.8954 0.3251 0.1402
O 0.0983 0.9017 0.2500
O 0.7572 0.5855 0.4110
O 0.1046 0.6749 0.8598
O 0.5855 0.7572 0.9110
O 0.3251 0.8954 0.6402
O 0.9017 0.0983 0.7500
O 0.2428 0.4145 0.5890
O 0.4145 0.2428 0.0890
Pb 0.6879 0.3121 0.7500
Pb 0.3121 0.6879 0.2500
CELL_PARAMETERS angstrom
6.2431 -0.0842 -0.0378
-1.9030 5.9466 -0.0378
-1.8478 -2.4959 7.4426



no.,magnetic moment (μB per formula unit)
1,1.8
2,0.0
3,0.0
4,7.3
5,0.3
6,0.0
7,0.0
8,0.0
9,0.0
10,0.0
11,5.0
12,0.0
13,0.0
14,0.0
15,1.0
16,0.0
17,1.8
18,0.3
19,0.0
20,0.0